Density functional theory data (GGA+U) for crystalline MnTlTcO6 at its relaxed geometry.

Unit cell a=5.1614 b=5.1614 c=5.5634 alpha=90.00 beta=90.00 gamma=120.00
Space group P312 (No. 149)
Asymmetric unit:
Mn (0.0000, 0.0000, 0.0000) (multiplicity 1)
Tl (0.3333, 0.6667, 0.5000) (multiplicity 1)
Tc (0.6667, 0.3333, 0.0000) (multiplicity 1)
O (0.3365, 0.0600, 0.1936) (multiplicity 6)

calculated density: 5.9 g/cm³
M_tot: 3.124 μB/cell
DOS(E_F): 1.549 states/eV/f.u.
total DFT energy (no corrections): -0.2470 Ha/atom